1.
Li2BeInPd: relaxed, PBE.

a b c (Å): 4.363 4.363 4.505
angles (deg): 90.00 90.00 90.00
Element x y z (fractional)
1 Li 0.000 0.500 0.000
2 Li 0.500 0.000 0.000
3 Be 0.000 0.000 0.000
4 In 0.000 0.000 0.500
5 Pd 0.500 0.500 0.500

Results
M_tot   0.000 μB per atom
Density of states at the Fermi level   1.99 states/eV per cell
VASP energy   -14.3 eV/f.u.
Crystal system   tetragonal
Space-group type   No. 123
Theoretical density   4.7 g cm⁻³

=====

2.
LiBe2In2Pd5: relaxed, PBE.

a b c (Å): 9.470 9.470 3.267
angles (deg): 90.00 90.00 90.00
Element x y z (fractional)
1 Li 0.000 0.000 0.000
2 Li 0.500 0.500 0.000
3 Be 0.127 0.373 0.000
4 Be 0.373 0.873 0.000
5 Be 0.627 0.127 0.000
6 Be 0.873 0.627 0.000
7 In 0.175 0.675 0.000
8 In 0.325 0.175 0.000
9 In 0.675 0.825 0.000
10 In 0.825 0.325 0.000
11 Pd 0.000 0.500 0.500
12 Pd 0.072 0.207 0.500
13 Pd 0.207 0.928 0.500
14 Pd 0.293 0.428 0.500
15 Pd 0.428 0.707 0.500
16 Pd 0.500 0.000 0.500
17 Pd 0.572 0.293 0.500
18 Pd 0.707 0.572 0.500
19 Pd 0.793 0.072 0.500
20 Pd 0.928 0.793 0.500

Results
M_tot   0.000 μB per atom
Density of states at the Fermi level   8.23 states/eV per cell
VASP energy   -45.6 eV/f.u.
Crystal system   tetragonal
Space-group type   No. 127
Theoretical density   8.9 g cm⁻³

=====

3.
LiPmBeIn: relaxed, PBE.

a b c (Å): 6.714 6.714 6.714
angles (deg): 90.00 90.00 90.00
Element x y z (fractional)
1 Li 0.000 0.000 0.000
2 Li 0.000 0.500 0.500
3 Li 0.500 0.000 0.500
4 Li 0.500 0.500 0.000
5 Pm 0.250 0.250 0.250
6 Pm 0.250 0.750 0.750
7 Pm 0.750 0.250 0.750
8 Pm 0.750 0.750 0.250
9 Be 0.000 0.000 0.500
10 Be 0.000 0.500 0.000
11 Be 0.500 0.000 0.000
12 Be 0.500 0.500 0.500
13 In 0.250 0.250 0.750
14 In 0.250 0.750 0.250
15 In 0.750 0.250 0.250
16 In 0.750 0.750 0.750

Results
M_tot   0.000 μB per atom
Density of states at the Fermi level   3.66 states/eV per cell
VASP energy   -13.8 eV/f.u.
Crystal system   cubic
Space-group type   No. 216
Theoretical density   6.1 g cm⁻³

=====

4.
LiPrBeIn: relaxed, PBE.

a b c (Å): 6.787 6.787 6.787
angles (deg): 90.00 90.00 90.00
Element x y z (fractional)
1 Li 0.000 0.000 0.000
2 Li 0.000 0.500 0.500
3 Li 0.500 0.000 0.500
4 Li 0.500 0.500 0.000
5 Pr 0.250 0.250 0.750
6 Pr 0.250 0.750 0.250
7 Pr 0.750 0.250 0.250
8 Pr 0.750 0.750 0.750
9 Be 0.000 0.000 0.500
10 Be 0.000 0.500 0.000
11 Be 0.500 0.000 0.000
12 Be 0.500 0.500 0.500
13 In 0.250 0.250 0.250
14 In 0.250 0.750 0.750
15 In 0.750 0.250 0.750
16 In 0.750 0.750 0.250

Results
M_tot   0.000 μB per atom
Density of states at the Fermi level   3.02 states/eV per cell
VASP energy   -13.8 eV/f.u.
Crystal system   cubic
Space-group type   No. 216
Theoretical density   5.8 g cm⁻³